Computed, not measured: a geometry-optimized NaSr5Cd structure at the PBE-GGA level of DFT.

Calculated values
**Formation enthalpy at 0 K**: 0.013 eV/atom
**Magnetic moment**: 0.00 μB/f.u.
**Total energy**: -42.20 eV/cell
**Density of states at the Fermi level**: 7.382 states/eV/f.u.

```
data_NaSr5Cd
_space_group_name_H-M_alt 'C 1 2/c 1'
_space_group_IT_number 15
_space_group_name_Hall '-C 2yc'
_cell_length_a 13.410
_cell_length_b 8.167
_cell_length_c 13.527
_cell_angle_alpha 90.00
_cell_angle_beta 109.04
_cell_angle_gamma 90.00
loop_
_atom_site_label
_atom_site_fract_x
_atom_site_fract_y
_atom_site_fract_z
_atom_site_occupancy
Na1 0.000 0.063 0.250 1
Sr1 0.000 0.452 0.750 1
Sr2 0.130 0.155 0.544 1
Sr3 0.223 0.332 0.136 1
Cd1 0.000 0.500 0.000 1
```

***

Computed, not measured: a geometry-optimized Na2SrCd2 structure at the PBE-GGA level of DFT.

Calculated values
**Energy above the most stable polymorph in this dataset**: 26 meV/atom
**Formation enthalpy at 0 K**: -0.138 eV/atom
**Magnetic moment**: 0.00 μB/f.u.
**Total energy**: -13.68 eV/cell
**Density of states at the Fermi level**: 3.642 states/eV/f.u.

```
data_Na2SrCd2
_space_group_name_H-M_alt 'I 4/m m m'
_space_group_IT_number 139
_space_group_name_Hall '-I 4 2'
_cell_length_a 4.638
_cell_length_b 4.638
_cell_length_c 14.999
_cell_angle_alpha 90.00
_cell_angle_beta 90.00
_cell_angle_gamma 90.00
loop_
_atom_site_label
_atom_site_fract_x
_atom_site_fract_y
_atom_site_fract_z
_atom_site_occupancy
Na1 0.000 0.500 0.250 1
Sr1 0.000 0.000 0.000 1
Cd1 0.000 0.000 0.403 1
```